# 1
Entry from Alexandria via LeMat-Bulk: a geometry-optimized U2GaIr structure (PBE).

Summary:
Total energy, eV/atom: -8.465
Crystal system: trigonal
ΔE_f, eV/atom: 0.15

Unit cell a=2.8788 b=2.8788 c=33.2241 alpha=90.00 beta=90.00 gamma=120.00
With the nearest neighbours (Å) after each atom.
Space group R-3m (No. 166, hexagonal axes)
Symmetry-distinct sites (fractional):
1 U 0.0000 0.0000 0.0908 x6  6 U 2.88, 3 Ir 3.02, 1 Ga 3.02
2 Ga 0.0000 0.0000 0.0000 x3  6 Ga 2.88, 2 U 3.02
3 Ir 0.0000 0.0000 0.5000 x3  6 Ir 2.88, 6 U 3.02



# 2
Entry from Alexandria via LeMat-Bulk: a geometry-optimized U2GaIr structure (PBE).

Summary:
Total energy, eV/atom: -8.873
Crystal system: tetragonal
ΔE_f, eV/atom: -0.26

Unit cell a=3.7463 b=3.7463 c=5.6741 alpha=90.00 beta=90.00 gamma=90.00
With the nearest neighbours (Å) after each atom.
Space group P4/mmm (No. 123)
Symmetry-distinct sites (fractional):
1 U 0.0000 0.0000 0.2458 x2  2 U 2.79-2.88, 4 Ga 2.99, 4 Ir 3.02
2 Ga 0.5000 0.5000 0.0000 x1  2 Ir 2.84, 8 U 2.99
3 Ir 0.5000 0.5000 0.5000 x1  2 Ga 2.84, 8 U 3.02